Record 1
Density functional theory data (PBE) for Sc2BrNCl after structural relaxation.

a = 4.4446 Å, b = 4.4446 Å, c = 4.9525 Å
α = 90.00°, β = 90.00°, γ = 90.00°
With the nearest neighbours (Å) after each atom.
Space group P4/mmm (No. 123)
Unique sites:
Sc (0.0000, 0.5000, 0.0000)  2 N 2.22
Br (0.0000, 0.0000, 0.5000)  4 Cl 3.14, 8 Sc 3.33
N (0.5000, 0.5000, 0.0000)  4 Sc 2.22, 2 Cl 2.48
Cl (0.5000, 0.5000, 0.5000)  2 N 2.48

Output
distance to the lowest polymorph of the same formula = 0.000 eV/atom
energy relative to the elements, uncorrected = -0.63 eV per atom
final energy = -5.530 eV per atom

---

Record 2
Density functional theory data (PBE) for Se2BrNCl after structural relaxation.

a = 5.5906 Å, b = 5.5906 Å, c = 3.6738 Å
α = 90.00°, β = 90.00°, γ = 90.00°
With the nearest neighbours (Å) after each atom.
Space group P4/mmm (No. 123)
Unique sites:
Se (0.0000, 0.5000, 0.0000)  2 Br 2.80
Br (0.0000, 0.0000, 0.0000)  2 N 1.84
N (0.0000, 0.0000, 0.5000)  2 Br 1.84
Cl (0.5000, 0.5000, 0.5000)  8 Se 3.34, 2 Cl 3.67

Output
distance to the lowest polymorph of the same formula = 0.491 eV/atom
energy relative to the elements, uncorrected = 1.63 eV per atom
final energy = -2.137 eV per atom

---

Record 3
Density functional theory data (PBE) for Se2BrNCl after structural relaxation.

a = 5.8626 Å, b = 5.8626 Å, c = 3.2827 Å
α = 90.00°, β = 90.00°, γ = 90.00°
With the nearest neighbours (Å) after each atom.
Space group P4/mmm (No. 123)
Unique sites:
Se (0.0000, 0.5000, 0.0000)  2 Cl 2.93, 2 Se 3.28
Br (0.0000, 0.0000, 0.5000)  2 Br 3.28, 8 Se 3.36
N (0.5000, 0.5000, 0.5000)  2 Cl 1.64
Cl (0.5000, 0.5000, 0.0000)  2 N 1.64

Output
distance to the lowest polymorph of the same formula = 0.461 eV/atom
energy relative to the elements, uncorrected = 1.60 eV per atom
final energy = -2.168 eV per atom

---

Record 4
Density functional theory data (PBE) for Se2BrNCl after structural relaxation.

a = 4.9541 Å, b = 4.9541 Å, c = 6.4837 Å
α = 90.00°, β = 90.00°, γ = 90.00°
With the nearest neighbours (Å) after each atom.
Space group P4/mmm (No. 123)
Unique sites:
Se (0.0000, 0.5000, 0.0000)  2 Cl 2.48
Br (0.0000, 0.0000, 0.5000)  2 Cl 3.24, 4 N 3.50
N (0.5000, 0.5000, 0.5000)  4 Br 3.50
Cl (0.0000, 0.0000, 0.0000)  4 Se 2.48

Output
distance to the lowest polymorph of the same formula = 0.642 eV/atom
energy relative to the elements, uncorrected = 1.78 eV per atom
final energy = -1.986 eV per atom

---

Record 5
Density functional theory data (PBE) for Se2BrNCl after structural relaxation.

a = 4.5786 Å, b = 4.5786 Å, c = 4.5583 Å
α = 90.00°, β = 90.00°, γ = 90.00°
With the nearest neighbours (Å) after each atom.
Space group P4/mmm (No. 123)
Unique sites:
Se (0.0000, 0.5000, 0.0000)  2 N 2.29
Br (0.0000, 0.0000, 0.5000)  2 N 2.28
N (0.0000, 0.0000, 0.0000)  2 Br 2.28, 4 Se 2.29
Cl (0.5000, 0.5000, 0.5000)  8 Se 3.23, 4 Br 3.24

Output
distance to the lowest polymorph of the same formula = 0.000 eV/atom
energy relative to the elements, uncorrected = 1.13 eV per atom
final energy = -2.629 eV per atom

---

Record 6
Density functional theory data (PBE) for Sm2BrNCl after structural relaxation.

a = 15.2601 Å, b = 3.8874 Å, c = 11.6992 Å
α = 90.00°, β = 128.72°, γ = 90.00°
With the nearest neighbours (Å) after each atom.
Space group C2/m (No. 12)
Unique sites:
Sm (0.0992, 0.0000, 0.2943)  2 N 2.31
Sm (0.1263, 0.5000, 0.0371)  2 N 2.26-2.28
Br (0.1544, 0.5000, 0.5398)  3 Sm 2.96-3.12
N (0.0592, 0.5000, 0.1634)  4 Sm 2.26-2.31
Cl (0.1335, 0.0000, 0.8390)  4 Sm 2.85-3.08

Output
energy relative to the elements, uncorrected = -1.73 eV per atom
final energy = -5.991 eV per atom

---

What is the formula in the first record?
Sc2BrNCl

---

What is the energy relative to the elements, uncorrected in the first record?
-0.63 eV per atom